# 1
A geometry-optimized La2PrDyHo structure. Source: Alexandria, functional PBE.

It has space group Cmcm (No. 63), with a = 6.5632 Å, b = 16.6839 Å, c = 6.5583 Å, α = 90.00°, β = 90.00° and γ = 90.00°. The distinct sites, in fractional coordinates, are La at (0.2483, 0.0000, 0.0000), Pr at (0.0000, 0.3407, 0.2500), Dy at (0.0000, 0.2456, 0.7500) and Ho at (0.0000, 0.1562, 0.2500).

The formation energy comes out at 1.73 eV/f.u. As for the total magnetization: 0.0 μB/cell.


# 2
A geometry-optimized ZrZn2Ag structure. Source: Alexandria, functional PBE.

It has space group Pmmm (No. 47), with a = 3.1114 Å, b = 3.1326 Å, c = 7.1468 Å, α = 90.00°, β = 90.00° and γ = 90.00°. The distinct sites, in fractional coordinates, are Zr at (0.0000, 0.0000, 0.0000), Zn at (0.5000, 0.5000, 0.2669) and Ag at (0.0000, 0.0000, 0.5000).

The formation energy comes out at -0.66 eV/f.u. As for the total magnetization: 0.0 μB/cell.


# 3
A geometry-optimized Ac3Al3Pd2 structure. Source: Alexandria, functional PBE.

It has space group Pnma (No. 62), with a = 8.5228 Å, b = 16.1609 Å, c = 6.0398 Å, α = 90.00°, β = 90.00° and γ = 90.00°. The distinct sites, in fractional coordinates, are Ac at (0.0336, 0.1097, 0.1128), Ac at (0.1760, 0.2500, 0.5930), Al at (0.1693, 0.0350, 0.5993), Al at (0.1783, 0.7500, 0.5788) and Pd at (0.1190, 0.6013, 0.3690).

The formation energy comes out at -4.65 eV/f.u. As for the total magnetization: 0.0 μB/cell.


# 4
A geometry-optimized Pm5Si2Sb2 structure. Source: Alexandria, functional PBE.

It has space group Cmce (No. 64), with a = 15.5268 Å, b = 8.0380 Å, c = 8.0742 Å, α = 90.00°, β = 90.00° and γ = 90.00°. The distinct sites, in fractional coordinates, are Pm at (0.0000, 0.0000, 0.0000), Pm at (0.1287, 0.1734, 0.3277), Si at (0.0000, 0.1179, 0.6179) and Sb at (0.2069, 0.0000, 0.0000).

As for the energy above the most stable polymorph in this dataset: 0 meV/atom. The calculation puts the formation energy from raw total energies at -911 meV per atom. As for the total magnetization: 0.0 μB/cell.


# 5
A geometry-optimized Pr2TmSc structure. Source: Alexandria, functional PBE.

It has space group Fm-3m (No. 225), with a = 7.9723 Å, b = 7.9723 Å, c = 7.9723 Å, α = 90.00°, β = 90.00° and γ = 90.00°. The distinct sites, in fractional coordinates, are Pr at (0.2500, 0.2500, 0.2500), Tm at (0.0000, 0.0000, 0.0000) and Sc at (0.0000, 0.0000, 0.5000).

As for the energy above the most stable polymorph in this dataset: 48 meV/atom. The formation energy comes out at 0.35 eV/f.u. As for the total magnetization: 0.0 μB/cell.


# 6
A geometry-optimized MgRhSe2 structure. Source: Alexandria, functional PBE.

It has space group P2/m (No. 10), with a = 4.7220 Å, b = 3.7251 Å, c = 4.7360 Å, α = 90.00°, β = 106.61° and γ = 90.00°. The distinct sites, in fractional coordinates, are Mg at (0.0000, 0.0000, 0.0000), Rh at (0.5000, 0.0000, 0.5000) and Se at (0.2873, 0.5000, 0.7138).

The calculation puts the formation energy from raw total energies at -395 meV per atom. As for the total magnetization: 0.0 μB/cell.


# 7
A geometry-optimized La14PmSn structure. Source: Alexandria, functional PBE.

It has space group Amm2 (No. 38), with a = 10.4030 Å, b = 10.3743 Å, c = 10.3731 Å, α = 90.00°, β = 90.00° and γ = 90.00°. The distinct sites, in fractional coordinates, are La at (0.0000, 0.0000, 0.0000), La at (0.0000, 0.0000, 0.4989), La at (0.0000, 0.2501, 0.2498), La at (0.2578, 0.0000, 0.2404), La at (0.2576, 0.0000, 0.7589), La at (0.2577, 0.2408, 0.9997), La at (0.5000, 0.2500, 0.2498), Pm at (0.5000, 0.0000, 0.4998) and Sn at (0.5000, 0.0000, 0.9996).

The formation energy comes out at -1.61 eV/f.u. As for the total magnetization: 0.0 μB/cell.


# 8
A geometry-optimized ZrCl2F structure. Source: Alexandria, functional PBE.

It has space group R-3m (No. 166, hexagonal axes), with a = 3.6404 Å, b = 3.6404 Å, c = 25.0793 Å, α = 90.00°, β = 90.00° and γ = 120.00°. The distinct sites, in fractional coordinates, are Zr at (0.0000, 0.0000, 0.0000), Cl at (0.0000, 0.0000, 0.0921) and F at (0.0000, 0.0000, 0.5000).

As for the energy above the most stable polymorph in this dataset: 1604 meV/atom. The calculation puts the formation energy from raw total energies at -544 meV per atom. As for the total magnetization: 2.0 μB/cell.


# 9
A geometry-optimized YW structure. Source: Alexandria, functional PBE.

It has space group P6_3/mmc (No. 194), with a = 3.0440 Å, b = 3.0440 Å, c = 10.5570 Å, α = 90.00°, β = 90.00° and γ = 120.00°. The distinct sites, in fractional coordinates, are Y at (0.0000, 0.0000, 0.0000) and W at (0.3333, 0.6667, 0.2500).

As for the energy above the most stable polymorph in this dataset: 620 meV/atom. The formation energy comes out at 1.74 eV/f.u. As for the total magnetization: 0.0 μB/cell.


# 10
A geometry-optimized DySc3Sn2 structure. Source: Alexandria, functional PBE.

It has space group Ibam (No. 72), with a = 6.8724 Å, b = 14.1049 Å, c = 7.0349 Å, α = 90.00°, β = 90.00° and γ = 90.00°. The distinct sites, in fractional coordinates, are Dy at (0.0000, 0.0000, 0.0000), Sc at (0.0000, 0.2100, 0.2500), Sc at (0.0000, 0.5000, 0.2500) and Sn at (0.1725, 0.3553, 0.0000).

The formation energy comes out at -1.43 eV/f.u. As for the total magnetization: 0.1 μB/cell.


# 11
A geometry-optimized Y2W structure. Source: Alexandria, functional PBE.

It has space group P4/mmm (No. 123), with a = 5.2180 Å, b = 5.2180 Å, c = 3.1337 Å, α = 90.00°, β = 90.00° and γ = 90.00°. The distinct sites, in fractional coordinates, are Y at (0.0000, 0.5000, 0.0000) and W at (0.0000, 0.0000, 0.5000).

As for the energy above the most stable polymorph in this dataset: 457 meV/atom. The formation energy comes out at 2.11 eV/f.u. As for the total magnetization: 0.0 μB/cell.


# 12
A geometry-optimized Ba6P2HN structure. Source: Alexandria, functional PBE.

It has space group P2_1/c (No. 14), with a = 7.3333 Å, b = 8.5177 Å, c = 12.5875 Å, α = 90.00°, β = 124.26° and γ = 90.00°. The distinct sites, in fractional coordinates, are Ba at (0.1194, 0.0363, 0.2450), Ba at (0.2190, 0.7019, 0.0576), Ba at (0.3724, 0.1670, 0.0610), P at (0.3042, 0.1106, 0.7485), H at (0.5000, 0.0000, 0.5000) and N at (0.0000, 0.0000, 0.0000).

Its raw total energy is -40.62 eV/f.u. As for the total magnetization: 4.0 μB/cell.